A) First-principles (PBEsol) data for crystalline Sr2LiAu at its relaxed geometry, as listed in the Alexandria database.

Cell: 3.855 3.855 8.334 Å, 90.00 90.00 90.00°
Space group P4/mmm (No. 123)
Inequivalent atoms, fractional coordinates:
1 Sr 0.000 0.000 0.213
2 Li 0.500 0.500 0.500
3 Au 0.500 0.500 0.000

Results
**Calculated volume**: 123.8 Å³ per cell

***

B) First-principles (PBEsol) data for crystalline Sr2LiAu at its relaxed geometry, as listed in the Alexandria database.

Cell: 4.535 4.562 11.897 Å, 90.00 90.00 90.00°
Space group Amm2 (No. 38)
Inequivalent atoms, fractional coordinates:
1 Sr 0.000 0.000 0.000
2 Sr 0.500 0.000 0.285
3 Li 0.000 0.000 0.693
4 Au 0.500 0.000 0.577

Results
**Calculated volume**: 246.1 Å³ per cell

***

B) is the most stable structure; the next one sits 3.8 kJ/mol of atoms above it.

***

A) First-principles (PBEsol) data for crystalline LiTa2Au at its relaxed geometry, as listed in the Alexandria database.

Cell: 2.8388 2.8388 30.0309 Å, 90.00 90.00 120.00°
Space group R-3m (No. 166, hexagonal axes)
Inequivalent atoms, fractional coordinates:
1 Li 0.0000 0.0000 0.0000
2 Ta 0.0000 0.0000 0.2466
3 Au 0.0000 0.0000 0.5000

Results
**Calculated volume**: 209.6 Å³ per cell

***

B) First-principles (PBEsol) data for crystalline LiTa2Au at its relaxed geometry, as listed in the Alexandria database.

Cell: 3.827 3.827 8.734 Å, 90.00 90.00 90.00°
Space group I4/mmm (No. 139)
Inequivalent atoms, fractional coordinates:
1 Li 0.000 0.000 0.000
2 Ta 0.000 0.500 0.250
3 Au 0.000 0.000 0.500

Results
**Calculated volume**: 127.9 Å³ per cell

***

C) First-principles (PBEsol) data for crystalline LiTa2Au at its relaxed geometry, as listed in the Alexandria database.

Cell: 6.411 6.411 6.411 Å, 90.00 90.00 90.00°
Space group F-43m (No. 216)
Inequivalent atoms, fractional coordinates:
1 Li 0.000 0.000 0.000
2 Ta 0.000 0.000 0.500
3 Ta 0.250 0.250 0.250
4 Au 0.250 0.250 0.750

Results
**Calculated volume**: 263.5 Å³ per cell

***

B) is the most stable structure; the next one sits 12.7 kJ/mol of atoms above it.

***

A) First-principles (PBEsol) data for crystalline LiTaAu at its relaxed geometry, as listed in the Alexandria database.

Cell: 3.209 4.404 14.110 Å, 90.00 90.00 90.00°
Space group Fmm2 (No. 42)
Inequivalent atoms, fractional coordinates:
1 Li 0.000 0.000 0.000
2 Ta 0.000 0.000 0.680
3 Au 0.000 0.000 0.346

Results
**Calculated volume**: 199.4 Å³ per cell

***

B) First-principles (PBEsol) data for crystalline LiTaAu at its relaxed geometry, as listed in the Alexandria database.

Cell: 2.717 4.248 8.166 Å, 90.00 90.00 90.00°
Space group Imm2 (No. 44)
Inequivalent atoms, fractional coordinates:
1 Li 0.000 0.000 0.000
2 Ta 0.000 0.000 0.674
3 Au 0.000 0.000 0.339

Results
**Calculated volume**: 94.2 Å³ per cell

***

A) is the most stable structure; the next one sits 0.6 kJ/mol of atoms above it.

***

A) First-principles (PBEsol) data for crystalline Li2TcAu at its relaxed geometry, as listed in the Alexandria database.

Cell: 2.626 4.542 9.330 Å, 90.00 90.00 90.00°
Space group Imm2 (No. 44)
Inequivalent atoms, fractional coordinates:
1 Li 0.000 0.000 0.000
2 Li 0.000 0.500 0.256
3 Tc 0.000 0.500 0.761
4 Au 0.000 0.000 0.518

Results
**Calculated volume**: 111.3 Å³ per cell

***

B) First-principles (PBEsol) data for crystalline Li2TcAu at its relaxed geometry, as listed in the Alexandria database.

Cell: 2.574 4.517 4.962 Å, 90.00 92.00 90.00°
Space group P2/m (No. 10)
Inequivalent atoms, fractional coordinates:
1 Li 0.165 0.000 0.237
2 Tc 0.500 0.500 0.000
3 Au 0.000 0.500 0.500

Results
**Calculated volume**: 57.7 Å³ per cell

***

B) is the most stable structure; the next one sits 12.7 kJ/mol of atoms above it.

***

A) First-principles (PBEsol) data for crystalline Li2TcAu at its relaxed geometry, as listed in the Alexandria database.

Cell: 9.191 2.598 4.893 Å, 90.00 99.48 90.00°
Space group C2/m (No. 12)
Inequivalent atoms, fractional coordinates:
1 Li 0.247 0.000 0.257
2 Tc 0.000 0.000 0.500
3 Au 0.000 0.500 0.000

Results
**Calculated volume**: 115.3 Å³ per cell

***

B) First-principles (PBEsol) data for crystalline Li2TcAu at its relaxed geometry, as listed in the Alexandria database.

Cell: 3.747 3.747 8.462 Å, 90.00 90.00 90.00°
Space group I4/mmm (No. 139)
Inequivalent atoms, fractional coordinates:
1 Li 0.000 0.500 0.250
2 Tc 0.000 0.000 0.000
3 Au 0.000 0.000 0.500

Results
**Calculated volume**: 118.8 Å³ per cell

***

A) is the most stable structure; the next one sits 24.6 kJ/mol of atoms above it.

***

A) First-principles (PBEsol) data for crystalline LiTcAu at its relaxed geometry, as listed in the Alexandria database.

Cell: 2.7144 2.7144 7.0072 Å, 90.00 90.00 120.00°
Space group P3m1 (No. 156)
Inequivalent atoms, fractional coordinates:
1 Li 0.0000 0.0000 0.0000
2 Tc 0.3333 0.6667 0.6647
3 Au 0.6667 0.3333 0.3226

Results
**Calculated volume**: 44.7 Å³ per cell

***

B) First-principles (PBEsol) data for crystalline LiTcAu at its relaxed geometry, as listed in the Alexandria database.

Cell: 2.593 4.072 8.171 Å, 90.00 90.00 90.00°
Space group Imm2 (No. 44)
Inequivalent atoms, fractional coordinates:
1 Li 0.000 0.000 0.000
2 Tc 0.000 0.000 0.669
3 Au 0.000 0.000 0.338

Results
**Calculated volume**: 86.3 Å³ per cell

***

A) is the most stable structure; the next one sits 9.2 kJ/mol of atoms above it.